VASP calculation (PBE-GGA) on an optimized crystal structure of Pr3SmP4.

Geometry as extended XYZ:
```
16
Lattice="8.3605 0.0000 0.0000 0.0000 11.8185 0.0000 0.0000 0.0000 4.1837" Properties=species:S:1:pos:R:3 pbc="T T T"
Pr 0.0000 0.0000 0.0000
Pr 2.0901 2.9546 2.0919
Pr 2.0901 8.8638 2.0919
Pr 4.1803 5.9092 0.0000
Pr 6.2704 2.9546 2.0919
Pr 6.2704 8.8638 2.0919
Sm 0.0000 5.9092 0.0000
Sm 4.1803 0.0000 0.0000
P 0.0000 2.9775 0.0000
P 0.0000 8.8409 0.0000
P 2.0591 5.9092 2.0919
P 2.1212 0.0000 2.0919
P 4.1803 2.9317 0.0000
P 4.1803 8.8868 0.0000
P 6.2393 0.0000 2.0919
P 6.3015 5.9092 2.0919
```

crystal system	orthorhombic
space-group type	Cmmm, No. 65
formation energy	-12.2	eV/f.u.

***

VASP calculation (PBE-GGA) on an optimized crystal structure of PrSm3P.

Geometry as extended XYZ:
```
5
Lattice="5.5349 0.0000 0.0000 0.0000 5.5349 0.0000 0.0000 0.0000 5.5349" Properties=species:S:1:pos:R:3 pbc="T T T"
Pr 0.0000 0.0000 0.0000
Sm 0.0000 2.7674 2.7674
Sm 2.7674 0.0000 2.7674
Sm 2.7674 2.7674 0.0000
P 2.7674 2.7674 2.7674
```

crystal system	cubic
space-group type	Pm-3m, No. 221
formation energy	-2.1	eV/f.u.

***

VASP calculation (PBE-GGA) on an optimized crystal structure of PrSm3P4.

Geometry as extended XYZ:
```
8
Lattice="5.8424 0.0000 0.0000 0.0000 5.8424 0.0000 0.0000 0.0000 5.8424" Properties=species:S:1:pos:R:3 pbc="T T T"
Pr 0.0000 0.0000 0.0000
Sm 0.0000 2.9212 2.9212
Sm 2.9212 0.0000 2.9212
Sm 2.9212 2.9212 0.0000
P 0.0000 0.0000 2.9212
P 0.0000 2.9212 0.0000
P 2.9212 0.0000 0.0000
P 2.9212 2.9212 2.9212
```

crystal system	cubic
space-group type	Pm-3m, No. 221
formation energy	-12.4	eV/f.u.